Record 1
The following is a PBE-GGA calculation of Cd3Hg8Pb after structural relaxation, from Alexandria via LeMat-Bulk. Values from VASP.

Computed properties:
* ΔE_f: 0.4 eV/f.u.
* DOS(E_F): 0.38 states/eV/atom

The structure in Quantum ESPRESSO input format:
```
&SYSTEM
  ibrav = 0, nat = 12, ntyp = 3
/
ATOMIC_SPECIES
Cd 112.41 Cd.upf
Hg 200.59 Hg.upf
Pb 207.20 Pb.upf
ATOMIC_POSITIONS crystal
Cd 0.3333 0.6667 0.9999
Cd 0.6667 0.3333 0.0001
Cd 0.0000 0.0000 0.0000
Hg 0.3452 0.3451 0.7586
Hg 0.6549 0.0001 0.7586
Hg 0.9999 0.6548 0.7586
Hg 0.6548 0.6549 0.2414
Hg 0.3451 0.9999 0.2414
Hg 0.0001 0.3452 0.2414
Hg 0.3333 0.6667 0.5001
Hg 0.6667 0.3333 0.4999
Pb 0.0000 0.0000 0.5000
CELL_PARAMETERS angstrom
6.2750 0.0000 0.0000
-3.1375 5.4343 0.0000
0.0000 0.0001 9.1774
```


Record 2
The following is a PBE-GGA calculation of Li4YAs after structural relaxation, from Alexandria via LeMat-Bulk. Values from VASP.

Computed properties:
* ΔE_f: -0.5 eV/f.u.
* DOS(E_F): 0.60 states/eV/atom

The structure in Quantum ESPRESSO input format:
```
&SYSTEM
  ibrav = 0, nat = 6, ntyp = 3
/
ATOMIC_SPECIES
Li 6.94 Li.upf
Y 88.91 Y.upf
As 74.92 As.upf
ATOMIC_POSITIONS crystal
Li 0.8780 0.3740 0.3740
Li 0.3740 0.3740 0.8780
Li 0.3740 0.8780 0.3740
Li 0.3740 0.3740 0.3740
Y 0.7500 0.7500 0.7500
As 0.0000 0.0000 0.0000
CELL_PARAMETERS angstrom
0.0000 3.8460 3.8460
3.8460 0.0000 3.8460
3.8460 3.8460 0.0000
```


Record 3
The following is a PBE-GGA calculation of Ba3NiRh after structural relaxation, from Alexandria via LeMat-Bulk. Values from VASP.

Computed properties:
* distance to the lowest polymorph of the same formula: 0 meV per atom
* ΔE_f: 1.4 eV/f.u.
* DOS(E_F): 0.98 states/eV/atom

The structure in Quantum ESPRESSO input format:
```
&SYSTEM
  ibrav = 0, nat = 5, ntyp = 3
/
ATOMIC_SPECIES
Ni 58.69 Ni.upf
Rh 102.91 Rh.upf
Ba 137.33 Ba.upf
ATOMIC_POSITIONS crystal
Ni 0.5000 0.5000 0.5000
Rh 0.0000 0.0000 0.0000
Ba 0.0000 0.5000 0.0000
Ba 0.0000 0.0000 0.5000
Ba 0.5000 0.0000 0.0000
CELL_PARAMETERS angstrom
5.8938 0.0000 0.0000
0.0000 5.8938 0.0000
0.0000 0.0000 5.8938
```


- Number 2 is which compound?
  Li4YAs


- Look up the DOS(E_F) of the first one.
  0.38 states/eV/atom


- What is the DOS(E_F) in the second record?
  0.60 states/eV/atom


- Which value of ΔE_f does entry 3 give?
  1.4 eV/f.u.